KP, single point on PBEsol structure, DFT SCAN; E above lowest polymorph = 0.0000 eV/atom; SG = No. 19; magnetization = 0.0 μB/f.u.; formation energy = -540 meV/atom
1.0
6.002 0.000 0.000
0.000 6.470 0.000
0.000 0.000 11.202
P K
8 8
Direct
0.407 0.420 0.529 P
0.332 0.813 0.103 P
0.168 0.187 0.603 P
0.093 0.580 0.029 P
0.593 0.920 0.971 P
0.907 0.080 0.471 P
0.668 0.313 0.397 P
0.832 0.687 0.897 P
0.601 0.383 0.084 K
0.101 0.117 0.916 K
0.399 0.883 0.416 K
0.667 0.150 0.718 K
0.167 0.350 0.282 K
0.833 0.850 0.218 K
0.899 0.617 0.584 K
0.333 0.650 0.782 K

---

KP, single point on PBEsol structure, DFT SCAN; E above lowest polymorph = 0.0846 eV/atom; SG = No. 63; magnetization = 0.0 μB/f.u.; formation energy = -456 meV/atom
1.0
-2.712 -1.933 1.875
-0.480 -3.117 -3.908
4.149 -1.797 4.150
P K
2 2
Direct
0.250 0.444 0.888 P
0.750 0.556 0.112 P
0.750 0.859 0.719 K
0.250 0.141 0.281 K

---

KP, single point on PBEsol structure, DFT SCAN; E above lowest polymorph = 1.2500 eV/atom; SG = No. 216; magnetization = 2.0 μB/f.u.; formation energy = 710 meV/atom
1.0
-4.349 0.660 2.722
-4.542 -1.482 -1.982
-2.467 -4.098 1.968
K P
1 1
Direct
0.000 0.000 0.000 K
0.750 0.750 0.750 P

---

Look up the formation energy of the third one.
710 meV/atom